(1)
Material: Sm2CdAu2
Method: DFT, PBE-GGA
State: relaxed

Symmetry ... No. 127
E_form ... -0.740 eV per atom

Cell: 8.048 8.048 3.844 Å, 90.00 90.00 90.00°
Element x y z (fractional)
Au 0.629 0.129 0.000
Au 0.129 0.371 0.000
Au 0.871 0.629 0.000
Au 0.371 0.871 0.000
Cd 0.000 0.000 0.000
Cd 0.500 0.500 0.000
Sm 0.330 0.170 0.500
Sm 0.830 0.330 0.500
Sm 0.170 0.670 0.500
Sm 0.670 0.830 0.500

---

(2)
Material: TbSmCd2Au4
Method: DFT, PBE-GGA
State: relaxed

Symmetry ... No. 123
E_form ... -0.672 eV per atom

Cell: 4.975 4.975 7.021 Å, 90.00 90.00 90.00°
Element x y z (fractional)
Au 0.500 0.000 0.255
Au 0.000 0.500 0.255
Au 0.500 0.000 0.745
Au 0.000 0.500 0.745
Cd 0.500 0.500 0.000
Cd 0.000 0.000 0.500
Sm 0.000 0.000 0.000
Tb 0.500 0.500 0.500

---

(3)
Material: SmTmCd2Au4
Method: DFT, PBE-GGA
State: relaxed

Symmetry ... No. 123
E_form ... -0.669 eV per atom

Cell: 4.947 4.947 6.995 Å, 90.00 90.00 90.00°
Element x y z (fractional)
Au 0.500 0.000 0.263
Au 0.000 0.500 0.263
Au 0.500 0.000 0.737
Au 0.000 0.500 0.737
Cd 0.500 0.500 0.000
Cd 0.000 0.000 0.500
Sm 0.000 0.000 0.000
Tm 0.500 0.500 0.500

---

(4)
Material: CdSnAu2
Method: DFT, PBE-GGA
State: relaxed

Symmetry ... No. 216
VASP energy ... -11.4 eV for the cell shown

Cell: 4.928 4.928 4.928 Å, 60.00 60.00 60.00°
Element x y z (fractional)
Au 0.000 0.000 0.000
Au 0.750 0.750 0.750
Cd 0.250 0.250 0.250
Sn 0.500 0.500 0.500

---

(5)
Material: Cd2SnAu
Method: DFT, PBE-GGA
State: relaxed

Symmetry ... No. 216
VASP energy ... -9.0 eV for the cell shown

Cell: 5.024 5.024 5.024 Å, 60.00 60.00 60.00°
Element x y z (fractional)
Au 0.250 0.250 0.250
Cd 0.000 0.000 0.000
Cd 0.750 0.750 0.750
Sn 0.500 0.500 0.500

---

(6)
Material: SrCdAu
Method: DFT, PBE-GGA
State: relaxed

Symmetry ... No. 216
VASP energy ... -6.4 eV for the cell shown

Cell: 5.205 5.205 5.205 Å, 60.00 60.00 60.00°
Element x y z (fractional)
Au 0.250 0.250 0.250
Cd 0.750 0.750 0.750
Sr 0.000 0.000 0.000

---

(7)
Material: SrCdAu
Method: DFT, PBE-GGA
State: relaxed

Symmetry ... No. 62
VASP energy ... -28.4 eV for the cell shown

Cell: 6.999 4.059 11.827 Å, 90.00 90.00 90.00°
Element x y z (fractional)
Au 0.850 0.750 0.025
Au 0.350 0.750 0.475
Au 0.650 0.250 0.525
Au 0.150 0.250 0.975
Cd 0.584 0.250 0.094
Cd 0.084 0.250 0.406
Cd 0.916 0.750 0.594
Cd 0.416 0.750 0.906
Sr 0.214 0.750 0.183
Sr 0.714 0.750 0.317
Sr 0.286 0.250 0.683
Sr 0.786 0.250 0.817

---

(8)
Material: SrCdAu
Method: DFT, PBE-GGA
State: relaxed

Symmetry ... No. 44
VASP energy ... -15.1 eV for the cell shown

Cell: 6.245 6.245 6.245 Å, 133.60 102.51 95.38°
Element x y z (fractional)
Au 0.544 0.336 0.208
Au 0.127 0.336 0.792
Cd 0.965 0.665 0.300
Cd 0.365 0.665 0.700
Sr 0.958 0.958 0.000
Sr 0.541 0.041 0.500